Entry 1:
Compound: AcLa2Pb
Source: the Alexandria database
Functional: PBE
Structure: relaxed

The structure in extended XYZ format:
```
16
Lattice="8.235 0.000 0.000 0.000 8.235 0.000 0.000 0.000 8.235" Properties=species:S:1:pos:R:3 pbc="T T T"
Ac 0.000 0.000 0.000
Ac 0.000 4.117 4.117
Ac 4.117 0.000 4.117
Ac 4.117 4.117 0.000
La 2.059 2.059 2.059
La 2.059 2.059 6.176
La 2.059 6.176 2.059
La 2.059 6.176 6.176
La 6.176 2.059 2.059
La 6.176 2.059 6.176
La 6.176 6.176 2.059
La 6.176 6.176 6.176
Pb 0.000 0.000 4.117
Pb 0.000 4.117 0.000
Pb 4.117 0.000 0.000
Pb 4.117 4.117 4.117
```

Properties
calculated total energy	-4.583	eV per atom
size of the total moment	0.0	μB per cell
relative energy among the computed polymorphs	171	meV/atom
E_form	-15.9	kJ/mol of atoms

=====

Entry 2:
Compound: Ac8LaPb2
Source: the Alexandria database
Functional: PBE
Structure: relaxed

The structure in extended XYZ format:
```
11
Lattice="9.074 -3.720 0.000 9.074 3.720 0.000 -0.404 0.000 6.884" Properties=species:S:1:pos:R:3 pbc="T T T"
Ac 1.374 0.000 2.688
Ac 7.200 1.869 0.720
Ac 5.018 0.000 4.487
Ac 10.545 1.869 6.164
Ac 7.200 -1.869 0.720
Ac 12.727 0.000 2.397
Ac 10.545 -1.869 6.164
Ac 16.371 0.000 4.195
La 8.873 0.000 3.442
Pb 4.309 0.000 1.069
Pb 13.436 0.000 5.815
```

Properties
calculated total energy	-4.212	eV per atom
size of the total moment	0.0	μB per cell
E_form	-9.8	kJ/mol of atoms

=====

Number 1: density of states at the Fermi level 1.815 states/eV per atom. Number 2: density of states at the Fermi level 1.405 states/eV per atom.